# RhC | Alexandria via LeMat-Bulk | GGA-PBE | optimized geometry
data_RhC
_chemical_formula_sum 'Rh4 C4'
_cell_length_a 4.3336
_cell_length_b 4.3336
_cell_length_c 4.3336
_cell_angle_alpha 90.00
_cell_angle_beta 90.00
_cell_angle_gamma 90.00
_symmetry_space_group_name_H-M 'P 21 3'
_symmetry_Int_Tables_number 198
_symmetry_space_group_name_Hall 'P 2ac 2ab 3'
loop_
_atom_site_label
_atom_site_type_symbol
_atom_site_fract_x
_atom_site_fract_y
_atom_site_fract_z
Rh1 Rh 0.0416 0.4584 0.5416
C1 C 0.0281 0.9719 0.4719
# M_tot (μB/f.u.): 0.00
# Formation energy (meV/atom): 986
# Electronic total energy (eV per formula unit): -14.604


# Rh3C | Alexandria via LeMat-Bulk | GGA-PBE | optimized geometry
data_Rh3C
_chemical_formula_sum 'Rh6 C2'
_cell_length_a 2.9928
_cell_length_b 4.1483
_cell_length_c 8.2566
_cell_angle_alpha 90.00
_cell_angle_beta 90.00
_cell_angle_gamma 90.00
_symmetry_space_group_name_H-M 'I m m m'
_symmetry_Int_Tables_number 71
_symmetry_space_group_name_Hall '-I 2 2'
loop_
_atom_site_label
_atom_site_type_symbol
_atom_site_fract_x
_atom_site_fract_y
_atom_site_fract_z
Rh1 Rh 0.0000 0.0000 0.0000
Rh2 Rh 0.0000 0.0000 0.3333
C1 C 0.0000 0.5000 0.0000
# M_tot (μB/f.u.): 0.00
# Formation energy (meV/atom): 282
# Electronic total energy (eV per formula unit): -30.149


# Rh3C | Alexandria via LeMat-Bulk | GGA-PBE | optimized geometry
data_Rh3C
_chemical_formula_sum 'Rh3 C1'
_cell_length_a 2.6935
_cell_length_b 2.6935
_cell_length_c 6.6616
_cell_angle_alpha 90.00
_cell_angle_beta 90.00
_cell_angle_gamma 90.00
_symmetry_space_group_name_H-M 'P 4/m m m'
_symmetry_Int_Tables_number 123
_symmetry_space_group_name_Hall '-P 4 2'
loop_
_atom_site_label
_atom_site_type_symbol
_atom_site_fract_x
_atom_site_fract_y
_atom_site_fract_z
Rh1 Rh 0.0000 0.0000 0.0000
Rh2 Rh 0.5000 0.5000 0.3059
C1 C 0.0000 0.0000 0.5000
# M_tot (μB/f.u.): 0.00
# Formation energy (meV/atom): 636
# Electronic total energy (eV per formula unit): -28.733


# RhC | Alexandria via LeMat-Bulk | GGA-PBE | optimized geometry
data_RhC
_chemical_formula_sum 'Rh3 C3'
_cell_length_a 5.3063
_cell_length_b 5.3063
_cell_length_c 2.9163
_cell_angle_alpha 90.00
_cell_angle_beta 90.00
_cell_angle_gamma 120.00
_symmetry_space_group_name_H-M 'P 6/m m m'
_symmetry_Int_Tables_number 191
_symmetry_space_group_name_Hall '-P 6 2'
loop_
_atom_site_label
_atom_site_type_symbol
_atom_site_fract_x
_atom_site_fract_y
_atom_site_fract_z
Rh1 Rh 0.0000 0.5000 0.0000
C1 C 0.0000 0.0000 0.0000
C2 C 0.3333 0.6667 0.5000
# M_tot (μB/f.u.): 0.08
# Formation energy (meV/atom): 1341
# Electronic total energy (eV per formula unit): -13.893


# Rh3C | Alexandria via LeMat-Bulk | GGA-PBE | optimized geometry
data_Rh3C
_chemical_formula_sum 'Rh6 C2'
_cell_length_a 4.7431
_cell_length_b 4.7431
_cell_length_c 4.7431
_cell_angle_alpha 90.00
_cell_angle_beta 90.00
_cell_angle_gamma 90.00
_symmetry_space_group_name_H-M 'P m -3 n'
_symmetry_Int_Tables_number 223
_symmetry_space_group_name_Hall '-P 4n 2 3'
loop_
_atom_site_label
_atom_site_type_symbol
_atom_site_fract_x
_atom_site_fract_y
_atom_site_fract_z
Rh1 Rh 0.0000 0.2500 0.5000
C1 C 0.0000 0.0000 0.0000
# M_tot (μB/f.u.): 0.00
# Formation energy (meV/atom): 1516
# Electronic total energy (eV per formula unit): -25.215


# Rh5C3 | Alexandria via LeMat-Bulk | GGA-PBE | optimized geometry
data_Rh5C3
_chemical_formula_sum 'Rh10 C6'
_cell_length_a 7.1840
_cell_length_b 9.4225
_cell_length_c 2.8122
_cell_angle_alpha 90.00
_cell_angle_beta 90.00
_cell_angle_gamma 90.00
_symmetry_space_group_name_H-M 'C m m m'
_symmetry_Int_Tables_number 65
_symmetry_space_group_name_Hall '-C 2 2'
loop_
_atom_site_label
_atom_site_type_symbol
_atom_site_fract_x
_atom_site_fract_y
_atom_site_fract_z
Rh1 Rh 0.0000 0.0000 0.0000
Rh2 Rh 0.1826 0.5000 0.5000
Rh3 Rh 0.2500 0.2500 0.0000
C1 C 0.0000 0.1814 0.5000
C2 C 0.0000 0.5000 0.0000
# E above lowest polymorph (meV per atom): 496
# M_tot (μB/f.u.): 0.00
# Formation energy (meV/atom): 898
# Electronic total energy (eV per formula unit): -57.249


# Rh3C | Alexandria via LeMat-Bulk | GGA-PBE | optimized geometry
data_Rh3C
_chemical_formula_sum 'Rh12 C4'
_cell_length_a 5.4443
_cell_length_b 5.4443
_cell_length_c 7.9591
_cell_angle_alpha 90.00
_cell_angle_beta 90.00
_cell_angle_gamma 120.00
_symmetry_space_group_name_H-M 'P 63/m m c'
_symmetry_Int_Tables_number 194
_symmetry_space_group_name_Hall '-P 6c 2c'
loop_
_atom_site_label
_atom_site_type_symbol
_atom_site_fract_x
_atom_site_fract_y
_atom_site_fract_z
Rh1 Rh 0.0000 0.5000 0.0000
Rh2 Rh 0.1559 0.3119 0.2500
C1 C 0.0000 0.0000 0.0000
C2 C 0.3333 0.6667 0.7500
# M_tot (μB/f.u.): 0.00
# Formation energy (meV/atom): 1123
# Electronic total energy (eV per formula unit): -26.784


# RhC5 | Alexandria via LeMat-Bulk | GGA-PBE | optimized geometry
data_RhC5
_chemical_formula_sum 'Rh1 C5'
_cell_length_a 3.7489
_cell_length_b 3.7489
_cell_length_c 5.0259
_cell_angle_alpha 90.00
_cell_angle_beta 90.00
_cell_angle_gamma 120.00
_symmetry_space_group_name_H-M 'P -6 2 m'
_symmetry_Int_Tables_number 189
_symmetry_space_group_name_Hall 'P -6 -2'
loop_
_atom_site_label
_atom_site_type_symbol
_atom_site_fract_x
_atom_site_fract_y
_atom_site_fract_z
Rh1 Rh 0.0000 0.0000 0.0000
C1 C 0.0000 0.7795 0.5000
C2 C 0.3333 0.6667 0.0000
# E above lowest polymorph (meV per atom): 1946
# M_tot (μB/f.u.): 0.00
# Formation energy (meV/atom): 2917
# Electronic total energy (eV per formula unit): -35.970


# RhC | Alexandria via LeMat-Bulk | GGA-PBE | optimized geometry
data_RhC
_chemical_formula_sum 'Rh2 C2'
_cell_length_a 3.2733
_cell_length_b 3.2733
_cell_length_c 5.2927
_cell_angle_alpha 90.00
_cell_angle_beta 90.00
_cell_angle_gamma 120.00
_symmetry_space_group_name_H-M 'P 63 m c'
_symmetry_Int_Tables_number 186
_symmetry_space_group_name_Hall 'P 6c -2c'
loop_
_atom_site_label
_atom_site_type_symbol
_atom_site_fract_x
_atom_site_fract_y
_atom_site_fract_z
Rh1 Rh 0.3333 0.6667 0.0000
C1 C 0.3333 0.6667 0.6195
# M_tot (μB/f.u.): 0.00
# Formation energy (meV/atom): 675
# Electronic total energy (eV per formula unit): -15.226


# RhC | Alexandria via LeMat-Bulk | GGA-PBE | optimized geometry
data_RhC
_chemical_formula_sum 'Rh1 C1'
_cell_length_a 2.7070
_cell_length_b 2.7070
_cell_length_c 2.7070
_cell_angle_alpha 90.00
_cell_angle_beta 90.00
_cell_angle_gamma 90.00
_symmetry_space_group_name_H-M 'P m -3 m'
_symmetry_Int_Tables_number 221
_symmetry_space_group_name_Hall '-P 4 2 3'
loop_
_atom_site_label
_atom_site_type_symbol
_atom_site_fract_x
_atom_site_fract_y
_atom_site_fract_z
Rh1 Rh 0.0000 0.0000 0.0000
C1 C 0.5000 0.5000 0.5000
# M_tot (μB/f.u.): 0.00
# Formation energy (meV/atom): 1464
# Electronic total energy (eV per formula unit): -13.648


# Rh5C3 | Alexandria via LeMat-Bulk | GGA-PBE | optimized geometry
data_Rh5C3
_chemical_formula_sum 'Rh10 C6'
_cell_length_a 5.9119
_cell_length_b 5.9119
_cell_length_c 7.1355
_cell_angle_alpha 90.00
_cell_angle_beta 90.00
_cell_angle_gamma 120.00
_symmetry_space_group_name_H-M 'P 63/m'
_symmetry_Int_Tables_number 176
_symmetry_space_group_name_Hall '-P 6c'
loop_
_atom_site_label
_atom_site_type_symbol
_atom_site_fract_x
_atom_site_fract_y
_atom_site_fract_z
Rh1 Rh 0.1003 0.3488 0.2500
Rh2 Rh 0.3333 0.6667 0.5655
C1 C 0.0996 0.3797 0.7500
# E above lowest polymorph (meV per atom): 148
# M_tot (μB/f.u.): 0.00
# Formation energy (meV/atom): 549
# Electronic total energy (eV per formula unit): -60.036


# RhC | Alexandria via LeMat-Bulk | GGA-PBE | optimized geometry
data_RhC
_chemical_formula_sum 'Rh4 C4'
_cell_length_a 4.4566
_cell_length_b 4.4566
_cell_length_c 5.3717
_cell_angle_alpha 90.00
_cell_angle_beta 90.00
_cell_angle_gamma 120.00
_symmetry_space_group_name_H-M 'P 63/m m c'
_symmetry_Int_Tables_number 194
_symmetry_space_group_name_Hall '-P 6c 2c'
loop_
_atom_site_label
_atom_site_type_symbol
_atom_site_fract_x
_atom_site_fract_y
_atom_site_fract_z
Rh1 Rh 0.0000 0.0000 0.2500
Rh2 Rh 0.3333 0.6667 0.2500
C1 C 0.3333 0.6667 0.6276
# M_tot (μB/f.u.): 0.00
# Formation energy (meV/atom): 1163
# Electronic total energy (eV per formula unit): -14.250


# RhC | Alexandria via LeMat-Bulk | GGA-PBE | optimized geometry
data_RhC
_chemical_formula_sum 'Rh4 C4'
_cell_length_a 4.6028
_cell_length_b 4.6028
_cell_length_c 4.6028
_cell_angle_alpha 90.00
_cell_angle_beta 90.00
_cell_angle_gamma 90.00
_symmetry_space_group_name_H-M 'F -4 3 m'
_symmetry_Int_Tables_number 216
_symmetry_space_group_name_Hall 'F -4 2 3'
loop_
_atom_site_label
_atom_site_type_symbol
_atom_site_fract_x
_atom_site_fract_y
_atom_site_fract_z
Rh1 Rh 0.0000 0.0000 0.0000
C1 C 0.2500 0.2500 0.7500
# M_tot (μB/f.u.): 0.00
# Formation energy (meV/atom): 564
# Electronic total energy (eV per formula unit): -15.447